[1]
8
Lattice="-0.1729 3.2217 -2.0450 -0.2183 -2.0521 -3.2145 -8.2100 0.5246 -2.0470" Properties=species:S:1:pos:R:3 comment="BeRe2S | Alexandria via LeMat-Bulk | PBE | relaxed" raw_formation_energy_ev_per_atom=0.600 pbc="T T T"
Be -4.3120 -0.4714 -3.9456
Be -0.1956 0.5848 -2.6297
S -4.2893 2.1655 -3.3609
S 0.0000 0.0000 0.0000
Re -6.4908 1.5017 -6.0043
Re -2.1807 1.7550 -2.1071
Re -6.3132 0.7471 -3.6405
Re -2.2177 -0.6155 -2.8610

***

[2]
11
Lattice="-4.8808 1.3237 -1.9788 -0.6363 -3.6101 6.6078 3.1923 5.8798 3.5123" Properties=species:S:1:pos:R:3 comment="Hf7InPb3 | Alexandria via LeMat-Bulk | PBE | relaxed" e_form_ev_per_fu=3.39 pbc="T T T"
Pb 0.2469 -1.4208 5.8937
Pb 2.3091 3.6906 4.2264
Pb -2.4404 0.6618 -0.9894
Hf 1.2780 1.1349 5.0601
Hf -0.5611 4.8912 4.6603
Hf -1.7636 -1.2978 3.4810
Hf 0.2357 3.6579 1.8646
Hf -2.5604 -0.0644 6.2767
Hf -0.4348 0.6678 1.5095
Hf -1.8899 2.9256 6.6318
In -1.1624 1.7967 4.0706

***

[3]
11
Lattice="6.0680 -0.0060 0.0952 -3.0044 5.2720 0.0952 -1.0501 -1.8049 6.6659" Properties=species:S:1:pos:R:3 comment="Rb2Sm2SbO6 | Alexandria via LeMat-Bulk | PBE | relaxed" raw_formation_energy_ev_per_atom=-2.236 pbc="T T T"
O 0.4252 0.7309 2.2630
O 0.6416 4.4195 2.3762
O 3.5249 2.7421 2.3762
O 1.5884 2.7302 4.5933
O 1.3719 -0.9585 4.4801
O -1.5113 0.7189 4.4801
Sb -0.5250 -0.9025 3.3330
Sm 2.5062 0.8582 3.4281
Sm -0.4926 2.6028 3.4281
Rb 4.5836 0.8575 0.0952
Rb -1.5200 4.4085 0.0952

***

[4]
5
Lattice="4.6515 0.0000 0.0000 0.0000 4.6515 0.0000 0.0000 0.0000 4.6515" Properties=species:S:1:pos:R:3 comment="Zn3NiTe | Alexandria via LeMat-Bulk | PBE | relaxed" raw_formation_energy_ev_per_atom=0.213 pbc="T T T"
Ni 0.0000 0.0000 0.0000
Zn 2.3257 0.0000 0.0000
Zn 0.0000 2.3257 0.0000
Zn 0.0000 0.0000 2.3257
Te 2.3257 2.3257 2.3257

***

[5]
20
Lattice="5.7629 0.0000 0.0000 0.0000 9.4808 -3.5698 0.0000 -0.2833 13.1932" Properties=species:S:1:pos:R:3 comment="Sr6In3Ga | Alexandria via LeMat-Bulk | PBE | relaxed" e_form_ev_per_fu=-3.33 pbc="T T T"
In 1.4407 4.9288 2.9698
In 1.4407 6.9127 10.0394
In 1.4407 3.7058 8.7809
In 4.3222 5.4917 0.8425
In 4.3222 4.2687 6.6536
In 4.3222 2.2848 -0.4160
Sr 4.3222 8.2504 -1.2448
Sr 1.4407 7.9874 1.3553
Sr 1.4407 2.1268 5.7364
Sr 4.3222 3.0754 3.2438
Sr 1.4407 6.1221 6.3796
Sr 1.4407 4.5404 -0.5721
Sr 1.4407 1.1283 1.4613
Sr 1.4407 0.9471 10.8682
Sr 4.3222 4.6571 10.1955
Sr 4.3222 8.0692 8.1621
Sr 4.3222 7.0707 3.8870
Sr 4.3222 1.2101 8.2681
Ga 4.3222 0.3912 5.0374
Ga 1.4407 8.8063 4.5860

***

[6]
5
Lattice="4.9968 0.0000 0.0000 0.0000 4.3219 0.0000 0.0000 0.0000 4.9968" Properties=species:S:1:pos:R:3 comment="VZn2CuS | Alexandria via LeMat-Bulk | PBE | relaxed" raw_formation_energy_ev_per_atom=0.587 pbc="T T T"
S 0.0000 2.1609 0.0000
Cu 2.4984 2.1609 2.4984
Zn 0.0000 0.0000 2.4984
Zn 2.4984 0.0000 0.0000
V 0.0000 0.0000 0.0000

***

[7]
6
Lattice="3.1547 0.0000 -0.0023 0.0000 3.4278 -0.0001 1.5744 -0.0001 7.2918" Properties=species:S:1:pos:R:3 comment="ScCuC | Alexandria via LeMat-Bulk | PBE | relaxed" e_form_ev_per_fu=-0.03 pbc="T T T"
Sc 1.8879 1.4095 6.8826
Sc 3.4674 1.4108 3.1376
Cu 1.8956 3.1223 4.9664
Cu 1.8897 3.1219 1.1864
C 3.4678 3.1242 6.4092
C 1.8880 3.1250 3.0789

***

[8]
8
Lattice="5.8588 0.0000 0.0000 0.0000 5.8588 0.0000 2.9294 2.9294 5.8046" Properties=species:S:1:pos:R:3 comment="Si2BiOs | Alexandria via LeMat-Bulk | PBE | relaxed" raw_formation_energy_ev_per_atom=0.417 pbc="T T T"
Si 1.8996 4.3941 1.4511
Si 7.3235 6.8886 4.3534
Si 4.3941 4.8290 4.3534
Si 3.9592 1.4647 1.4511
Bi 0.0000 0.0000 0.0000
Bi 5.8588 2.9294 2.9023
Os 2.9294 5.8588 2.9023
Os 2.9294 2.9294 0.0000

***

Listing density for the structures above in their given order: 11.7; 12.4; 5.3; 6.3; 4.4; 4.3; 5.1; 7.6 g cm⁻³.
Listing D(E_F) for the structures above in their given order: 6.1; 12.8; 5.7; 3.0; 11.0; 3.3; 3.8; 6.5 states/eV per cell.